Version i
VASP calculation (PBE) on a relaxed structure of Li2In2Co.

Lattice parameters (Å, degrees): 7.189 7.189 3.169 90.00 90.00 90.00
Fractional positions:
Li (0.127, 0.373, 0.000)
Li (0.373, 0.873, 0.000)
Li (0.627, 0.127, 0.000)
Li (0.873, 0.627, 0.000)
In (0.174, 0.674, 0.500)
In (0.326, 0.174, 0.500)
In (0.674, 0.826, 0.500)
In (0.826, 0.326, 0.500)
Co (0.000, 0.000, 0.000)
Co (0.500, 0.500, 0.000)

Results
The density comes out at 6.13 g/cm3. The density of states at the Fermi level comes out at 11.996 states/eV/cell.

***

Version ii
VASP calculation (PBE) on a relaxed structure of Li2In2Co.

Lattice parameters (Å, degrees): 4.918 4.918 4.918 120.42 120.42 89.27
Fractional positions:
Li (0.151, 0.151, 0.000)
Li (0.849, 0.849, 0.000)
In (0.250, 0.750, 0.500)
In (0.750, 0.250, 0.500)
Co (0.500, 0.500, 0.000)

Results
The density comes out at 6.01 g/cm3. The density of states at the Fermi level comes out at 2.792 states/eV/cell.

***

Energy ordering: version i at the bottom, the next structure 141 meV per atom above.

***

Version i
VASP calculation (PBE) on a relaxed structure of Lu2InCo.

Lattice parameters (Å, degrees): 8.704 8.704 8.704 23.67 23.67 23.67
Fractional positions:
Lu (0.231, 0.231, 0.231)
Lu (0.769, 0.769, 0.769)
In (0.000, 0.000, 0.000)
Co (0.500, 0.500, 0.500)

Results
The density comes out at 9.31 g/cm3. The density of states at the Fermi level comes out at 2.271 states/eV/cell.

***

Version ii
VASP calculation (PBE) on a relaxed structure of Lu2InCo.

Lattice parameters (Å, degrees): 3.288 3.288 7.893 90.00 90.00 90.00
Fractional positions:
Lu (0.000, 0.000, 0.202)
Lu (0.000, 0.000, 0.798)
In (0.500, 0.500, 0.500)
Co (0.500, 0.500, 0.000)

Results
The density comes out at 10.19 g/cm3. The density of states at the Fermi level comes out at 2.893 states/eV/cell.

***

Version iii
VASP calculation (PBE) on a relaxed structure of Lu2InCo.

Lattice parameters (Å, degrees): 4.899 4.899 3.607 90.00 90.00 90.00
Fractional positions:
Lu (0.000, 0.500, 0.000)
Lu (0.500, 0.000, 0.000)
In (0.000, 0.000, 0.500)
Co (0.500, 0.500, 0.500)

Results
The density comes out at 10.05 g/cm3. The density of states at the Fermi level comes out at 1.945 states/eV/cell.

***

Energy ordering: version ii at the bottom, the next structure 148 meV per atom above.